RbScBr3: relaxed, PBE-GGA.

Its energy relative to the elements, uncorrected is -1.471 eV/atom. The space-group type is P2_1/c, No. 14. As for the raw total energy: -3.93 eV/atom.

Cell: 9.7863 7.2897 10.9936 Å, 90.00 124.15 90.00°
Last column: nearest neighbours and their distance in Å.
Sites, in units of the cell vectors:
Rb1 0.1731 0.2501 0.0865  9 Br 3.33-3.73
Rb2 0.1731 0.2499 0.5865  9 Br 3.33-3.73
Rb3 0.8269 0.7501 0.4135  9 Br 3.33-3.73
Rb4 0.8269 0.7499 0.9135  9 Br 3.33-3.73
Sc1 0.2623 0.6730 0.3807  6 Br 2.72-3.01
Sc2 0.2623 0.8270 0.8807  6 Br 2.72-3.01
Sc3 0.7377 0.1730 0.1193  6 Br 2.72-3.01
Sc4 0.7377 0.3270 0.6193  6 Br 2.72-3.01
Br1 0.0284 0.5269 0.7641  2 Sc 2.77-2.89
Br2 0.0284 0.9731 0.2641  2 Sc 2.77-2.89
Br3 0.2692 0.7498 0.1345  2 Sc 2.80-2.81
Br4 0.2692 0.7502 0.6345  2 Sc 2.80-2.81
Br5 0.4029 0.2087 0.9512  2 Sc 2.72-3.01
Br6 0.4029 0.2913 0.4512  2 Sc 2.72-3.01
Br7 0.5971 0.7087 0.5488  2 Sc 2.72-3.01
Br8 0.5971 0.7913 0.0488  2 Sc 2.72-3.01
Br9 0.7308 0.2498 0.3655  2 Sc 2.80-2.81
Br10 0.7308 0.2502 0.8655  2 Sc 2.80-2.81
Br11 0.9716 0.0269 0.7359  2 Sc 2.77-2.89
Br12 0.9716 0.4731 0.2359  2 Sc 2.77-2.89

=====

Rb2Sc2Br7: relaxed, PBE-GGA.

Its energy relative to the elements, uncorrected is -1.620 eV/atom. The space-group type is C2/m, No. 12. As for the raw total energy: -4.01 eV/atom.

Cell: 8.9069 8.9069 7.5742 Å, 96.09 96.09 122.51°
Last column: nearest neighbours and their distance in Å.
Sites, in units of the cell vectors:
Rb1 0.1901 0.8099 0.0000  6 Br 3.42-3.56
Rb2 0.8099 0.1901 0.0000  6 Br 3.42-3.56
Sc1 0.2186 0.2186 0.6077  5 Br 2.59-2.77
Sc2 0.7814 0.7814 0.3923  5 Br 2.59-2.77
Br1 0.0615 0.0615 0.2665  2 Sc 2.64-2.77
Br2 0.1261 0.4291 0.7464  1 Sc 2.59
Br3 0.4291 0.1261 0.7464  1 Sc 2.59
Br4 0.5000 0.5000 0.5000  2 Sc 2.71
Br5 0.5709 0.8739 0.2536  1 Sc 2.59
Br6 0.8739 0.5709 0.2536  1 Sc 2.59
Br7 0.9385 0.9385 0.7335  2 Sc 2.64-2.77

=====

RbScBr3: relaxed, PBE-GGA.

Its energy relative to the elements, uncorrected is -1.495 eV/atom. The space-group type is C2/c, No. 15. As for the raw total energy: -3.96 eV/atom.

Cell: 9.5167 9.5167 8.0442 Å, 104.64 104.64 78.49°
Last column: nearest neighbours and their distance in Å.
Sites, in units of the cell vectors:
Rb1 0.0000 0.0000 0.2500  8 Br 3.42-3.65
Rb2 0.0000 0.0000 0.7500  8 Br 3.42-3.65
Rb3 0.3550 0.6450 0.7500  8 Br 3.43-3.69
Rb4 0.6450 0.3550 0.2500  8 Br 3.43-3.69
Sc1 0.1802 0.5101 0.1588  5 Br 2.62-2.91
Sc2 0.4899 0.8198 0.3412  5 Br 2.62-2.91
Sc3 0.5101 0.1802 0.6588  5 Br 2.62-2.91
Sc4 0.8198 0.4899 0.8412  5 Br 2.62-2.91
Br1 0.0249 0.6752 0.9249  2 Sc 2.71-2.74
Br2 0.0606 0.6873 0.4096  1 Sc 2.62
Br3 0.3127 0.9394 0.0904  1 Sc 2.62
Br4 0.3248 0.9751 0.5751  2 Sc 2.71-2.74
Br5 0.3392 0.3483 0.9154  2 Sc 2.75-2.91
Br6 0.3483 0.3392 0.4154  2 Sc 2.75-2.91
Br7 0.6517 0.6608 0.5846  2 Sc 2.75-2.91
Br8 0.6608 0.6517 0.0846  2 Sc 2.75-2.91
Br9 0.6752 0.0249 0.4249  2 Sc 2.71-2.74
Br10 0.6873 0.0606 0.9096  1 Sc 2.62
Br11 0.9394 0.3127 0.5904  1 Sc 2.62
Br12 0.9751 0.3248 0.0751  2 Sc 2.71-2.74

=====

Rb2ScBr5: relaxed, PBE-GGA.

Its energy relative to the elements, uncorrected is -1.754 eV/atom. The space-group type is Pnma, No. 62. As for the raw total energy: -3.83 eV/atom.

Cell: 9.8710 7.5990 15.4547 Å, 90.00 90.00 90.00°
Last column: nearest neighbours and their distance in Å.
Sites, in units of the cell vectors:
Rb1 0.0426 0.2500 0.2004  8 Br 3.51-3.80
Rb2 0.1828 0.7500 0.4132  9 Br 3.53-3.90
Rb3 0.3172 0.2500 0.9132  9 Br 3.53-3.90
Rb4 0.4574 0.7500 0.7004  8 Br 3.51-3.80
Rb5 0.5426 0.2500 0.2996  8 Br 3.51-3.80
Rb6 0.6828 0.7500 0.0868  9 Br 3.53-3.90
Rb7 0.8172 0.2500 0.5868  9 Br 3.53-3.90
Rb8 0.9574 0.7500 0.7996  8 Br 3.51-3.80
Sc1 0.1874 0.7500 0.0603  6 Br 2.58-2.81
Sc2 0.3126 0.2500 0.5603  6 Br 2.58-2.81
Sc3 0.6874 0.7500 0.4397  6 Br 2.58-2.81
Sc4 0.8126 0.2500 0.9397  6 Br 2.58-2.81
Br1 0.0000 0.0000 0.0000  2 Sc 2.81
Br2 0.0000 0.5000 0.0000  2 Sc 2.81
Br3 0.0428 0.7500 0.2029  1 Sc 2.63
Br4 0.1553 0.5010 0.6097  1 Sc 2.58
Br5 0.1553 0.9990 0.6097  1 Sc 2.58
Br6 0.2195 0.2500 0.3971  1 Sc 2.68
Br7 0.2805 0.7500 0.8971  1 Sc 2.68
Br8 0.3447 0.0010 0.1097  1 Sc 2.58
Br9 0.3447 0.4990 0.1097  1 Sc 2.58
Br10 0.4572 0.2500 0.7029  1 Sc 2.63
Br11 0.5000 0.0000 0.5000  2 Sc 2.81
Br12 0.5000 0.5000 0.5000  2 Sc 2.81
Br13 0.5428 0.7500 0.2971  1 Sc 2.63
Br14 0.6553 0.5010 0.8903  1 Sc 2.58
Br15 0.6553 0.9990 0.8903  1 Sc 2.58
Br16 0.7195 0.2500 0.1029  1 Sc 2.68
Br17 0.7805 0.7500 0.6029  1 Sc 2.68
Br18 0.8447 0.0010 0.3903  1 Sc 2.58
Br19 0.8447 0.4990 0.3903  1 Sc 2.58
Br20 0.9572 0.2500 0.7971  1 Sc 2.63

=====

RbScBr3: relaxed, PBE-GGA.

Its energy relative to the elements, uncorrected is -1.569 eV/atom. The space-group type is C2/c, No. 15. As for the raw total energy: -4.03 eV/atom.

Cell: 9.9136 9.9136 6.7987 Å, 91.68 91.68 91.16°
Last column: nearest neighbours and their distance in Å.
Sites, in units of the cell vectors:
Rb1 0.0673 0.2485 0.0858  5 Br 3.27-3.61
Rb2 0.2485 0.0673 0.5858  5 Br 3.27-3.61
Rb3 0.7515 0.9327 0.4142  5 Br 3.27-3.61
Rb4 0.9327 0.7515 0.9142  5 Br 3.27-3.61
Sc1 0.3038 0.6962 0.2500  6 Br 2.71-2.82
Sc2 0.4564 0.5436 0.7500  6 Br 2.76-2.83
Sc3 0.5436 0.4564 0.2500  6 Br 2.76-2.83
Sc4 0.6962 0.3038 0.7500  6 Br 2.71-2.82
Br1 0.0530 0.7506 0.4189  1 Sc 2.82
Br2 0.2014 0.5651 0.9219  2 Sc 2.71-2.83
Br3 0.2494 0.9470 0.0811  1 Sc 2.82
Br4 0.2969 0.4471 0.4266  3 Sc 2.76-2.80
Br5 0.4349 0.7986 0.5781  2 Sc 2.71-2.83
Br6 0.4471 0.2969 0.9266  3 Sc 2.76-2.80
Br7 0.5529 0.7031 0.0734  3 Sc 2.76-2.80
Br8 0.5651 0.2014 0.4219  2 Sc 2.71-2.83
Br9 0.7031 0.5529 0.5734  3 Sc 2.76-2.80
Br10 0.7506 0.0530 0.9189  1 Sc 2.82
Br11 0.7986 0.4349 0.0781  2 Sc 2.71-2.83
Br12 0.9470 0.2494 0.5811  1 Sc 2.82

=====

RbScBr3: relaxed, PBE-GGA.

Its energy relative to the elements, uncorrected is -1.579 eV/atom. The space-group type is C2/m, No. 12. As for the raw total energy: -4.04 eV/atom.

Cell: 8.9639 8.9639 9.5730 Å, 99.04 99.04 26.08°
Last column: nearest neighbours and their distance in Å.
Sites, in units of the cell vectors:
Rb1 0.0956 0.0956 0.3910  8 Br 3.46-3.87
Rb2 0.9044 0.9044 0.6090  8 Br 3.46-3.87
Sc1 0.2941 0.2941 0.1369  6 Br 2.76-2.82
Sc2 0.7059 0.7059 0.8631  6 Br 2.76-2.82
Br1 0.1411 0.1411 0.0088  3 Sc 2.76-2.80
Br2 0.2514 0.2514 0.6881  2 Sc 2.82
Br3 0.4332 0.4332 0.3207  1 Sc 2.76
Br4 0.5668 0.5668 0.6793  1 Sc 2.76
Br5 0.7486 0.7486 0.3119  2 Sc 2.82
Br6 0.8589 0.8589 0.9912  3 Sc 2.76-2.80

=====

RbScBr3: relaxed, PBE-GGA.

Its energy relative to the elements, uncorrected is -1.414 eV/atom. The space-group type is R-3c, No. 167. As for the raw total energy: -3.88 eV/atom.

Cell: 8.8881 8.8881 8.8881 Å, 56.89 56.89 56.89°
Last column: nearest neighbours and their distance in Å.
Sites, in units of the cell vectors:
Rb1 0.0000 0.0000 0.0000  6 Br 3.50
Rb2 0.5000 0.5000 0.5000  6 Br 3.50
Sc1 0.2500 0.2500 0.2500  3 Br 2.55
Sc2 0.7500 0.7500 0.7500  3 Br 2.55
Br1 0.0514 0.7500 0.4486  1 Sc 2.55
Br2 0.2500 0.5514 0.9486  1 Sc 2.55
Br3 0.4486 0.0514 0.7500  1 Sc 2.55
Br4 0.5514 0.9486 0.2500  1 Sc 2.55
Br5 0.7500 0.4486 0.0514  1 Sc 2.55
Br6 0.9486 0.2500 0.5514  1 Sc 2.55

=====

RbScBr3: relaxed, PBE-GGA.

Its energy relative to the elements, uncorrected is -0.784 eV/atom. The space-group type is I-4m2, No. 119. As for the raw total energy: -3.25 eV/atom.

Cell: 12.4626 12.4626 12.4626 Å, 152.27 152.27 39.62°
Last column: nearest neighbours and their distance in Å.
Sites, in units of the cell vectors:
Rb1 0.0000 0.0000 0.0000  4 Br 3.32
Rb2 0.7500 0.2500 0.5000  8 Br 3.26
Sc1 0.1821 0.6821 0.5000  2 Br 3.00, 1 Sc 3.19
Sc2 0.3179 0.8179 0.5000  2 Br 3.00, 1 Sc 3.19
Br1 0.3056 0.3056 0.0000  2 Sc 3.00, 2 Rb 3.26
Br2 0.3744 0.1268 0.2476  2 Br 2.96-3.01, 1 Rb 3.26
Br3 0.6944 0.6944 0.0000  2 Sc 3.00, 2 Rb 3.26
Br4 0.8732 0.1208 0.2476  2 Br 2.96-3.01, 1 Rb 3.26
Br5 0.8732 0.6256 0.7524  2 Br 2.96-3.01, 1 Rb 3.26
Br6 0.8792 0.1268 0.7524  2 Br 2.96-3.01, 1 Rb 3.26